A relaxed Er2VO crystal, computed with GGA+U.

Cell lengths 3.3110, 3.3110, 26.1206 Å; angles 90.00, 90.00, 120.00 degrees
Space group R-3m (No. 166, hexagonal axes)
Inequivalent atoms, fractional coordinates:
Er 0.0000 0.0000 0.1135 [6 per cell]
V 0.0000 0.0000 0.0000 [3 per cell]
O 0.0000 0.0000 0.5000 [3 per cell]

**Crystal system**: trigonal
**Fermi-level density of states**: 0.549 states/eV per atom
**E**: -6.0926 eV/atom